No. 1
Here is a relaxed CeSm2Pa3As6 crystal from the Alexandria database. Energies are from PBE.

Cell and atoms, written as POSCAR:
```
CeSm2Pa3As6
1.0
-2.3658 1.2529 3.1676
0.5151 -7.5722 3.3796
8.2630 3.7364 1.9786
As Sm Pa Ce
6 2 3 1
direct
0.3308 0.9213 0.6617 As
0.6646 0.5893 0.3292 As
0.0017 0.7445 0.0034 As
0.6692 0.0787 0.3383 As
0.3354 0.4107 0.6708 As
0.9983 0.2555 0.9966 As
0.1668 0.3337 0.3335 Sm
0.8332 0.6663 0.6665 Sm
0.5000 0.5000 0.0000 Pa
0.8336 0.1665 0.6671 Pa
0.1664 0.8335 0.3329 Pa
0.5000 0.0000 0.0000 Ce
```

Properties
As for the volume: 25.28 Å³ per atom. The calculation puts the formation energy at -1.27 eV/atom.

No. 2
Here is a relaxed Sr3CePa2As6 crystal from the Alexandria database. Energies are from PBE.

Cell and atoms, written as POSCAR:
```
Sr3CePa2As6
1.0
7.4268 -0.0009 0.0001
-3.7124 6.4324 0.0001
-1.2390 -2.1453 7.1233
As Pa Sr Ce
6 2 3 1
direct
0.7293 0.7293 0.2191 As
0.0733 0.4170 0.2193 As
0.5830 0.9267 0.7807 As
0.2707 0.2707 0.7809 As
0.9267 0.5830 0.7807 As
0.4170 0.0733 0.2193 As
0.3330 0.6670 0.0000 Pa
0.6670 0.3330 0.0000 Pa
0.8357 0.1643 0.5000 Sr
0.5000 0.5000 0.5000 Sr
0.1643 0.8357 0.5000 Sr
0.0000 0.0000 0.0000 Ce
```

Properties
As for the volume: 28.36 Å³ per atom. The calculation puts the formation energy at -1.21 eV/atom.